[1]
The following is a meta-GGA SCAN calculation of a crystal of Y2AgRh2 relaxed with PBEsol, from the Alexandria database.

a = 5.1995 Å, b = 5.4234 Å, c = 5.1995 Å
α = 118.64°, β = 90.00°, γ = 118.64°
Fractional coordinates of all 5 atoms:
Ag 0.0000 0.0000 0.0000
Y 0.2500 0.5000 0.7500
Rh 0.6593 0.3186 0.6593
Y 0.7500 0.5000 0.2500
Rh 0.3407 0.6814 0.3407

magnetic moment = 0.0 Bohr magnetons per cell
polymorph energy (0 for the lowest one) = 0.2882 eV/atom
space-group type = No. 139


[2]
The following is a meta-GGA SCAN calculation of a crystal of ScAsIr relaxed with PBEsol, from the Alexandria database.

a = 3.0609 Å, b = 4.2764 Å, c = 4.2764 Å
α = 120.00°, β = 90.00°, γ = 90.00°
Fractional coordinates of all 3 atoms:
As 0.0000 0.0000 0.0000
Ir 0.0000 0.3333 0.6667
Sc 0.5000 0.6667 0.3333

magnetic moment = 0.0 Bohr magnetons per cell
calculated total energy = -108.7 eV for the cell shown
space-group type = No. 187


[3]
The following is a meta-GGA SCAN calculation of a crystal of MnTcP relaxed with PBEsol, from the Alexandria database.

a = 2.7466 Å, b = 2.7466 Å, c = 5.6287 Å
α = 99.02°, β = 99.02°, γ = 110.92°
Site moments in Bohr magnetons follow the coordinates.
Fractional coordinates of all 3 atoms:
P 0.3377 0.3377 0.6754  -0.08
Tc 0.6783 0.6783 0.3566  -0.09
Mn 0.9840 0.9840 0.9680  2.93

magnetic moment = 2.7 Bohr magnetons per cell
calculated total energy = -63.8 eV for the cell shown
space-group type = No. 42


[4]
The following is a meta-GGA SCAN calculation of a crystal of TcTeI2N relaxed with PBEsol, from the Alexandria database.

a = 4.9056 Å, b = 4.9056 Å, c = 4.6940 Å
α = 90.00°, β = 90.00°, γ = 90.00°
Site moments in Bohr magnetons follow the coordinates.
Fractional coordinates of all 5 atoms:
I 0.5000 0.0000 0.0000  0.08
Te 0.0000 0.0000 0.5000  0.07
Tc 0.5000 0.5000 0.5000  4.09
I 0.0000 0.5000 0.0000  0.08
N 0.0000 0.0000 0.0000  -0.05

magnetic moment = 4.8 Bohr magnetons per cell
raw formation energy = 1.43 eV per atom
space-group type = No. 123


[5]
The following is a meta-GGA SCAN calculation of a crystal of LaCdSi relaxed with PBEsol, from the Alexandria database.

a = 4.3040 Å, b = 4.4110 Å, c = 4.4110 Å
α = 120.00°, β = 90.00°, γ = 90.00°
Fractional coordinates of all 3 atoms:
Si 0.1668 0.6667 0.3333
Cd 0.1666 0.0000 0.0000
La 0.6666 0.3333 0.6667

magnetic moment = 0.0 Bohr magnetons per cell
raw formation energy = -0.56 eV per atom
space-group type = No. 187


[6]
The following is a meta-GGA SCAN calculation of a crystal of Ba3YBr relaxed with PBEsol, from the Alexandria database.

a = 6.1940 Å, b = 6.1940 Å, c = 6.1940 Å
α = 90.00°, β = 90.00°, γ = 90.00°
Site moments in Bohr magnetons follow the coordinates.
Fractional coordinates of all 5 atoms:
Ba 0.0000 0.0000 0.5000  0.16
Ba 0.5000 0.0000 0.0000  0.16
Br 0.0000 0.0000 0.0000  0.02
Y 0.5000 0.5000 0.5000  0.48
Ba 0.0000 0.5000 0.0000  0.16

magnetic moment = 2.7 Bohr magnetons per cell
raw formation energy = -0.41 eV per atom
space-group type = No. 221